(1)
## HgPSe (PBE)

Data for HgPSe after structural relaxation.

spin magnetization = 0.000 μB/cell
formation energy (no corrections) = 0.53 eV/atom

Structure (CIF):
```
data_HgPSe
_space_group_name_H-M_alt 'P 3 m 1'
_space_group_IT_number 156
_space_group_name_Hall 'P 3 -2"'
_cell_length_a 5.1456
_cell_length_b 5.1456
_cell_length_c 2.8042
_cell_angle_alpha 90.00
_cell_angle_beta 90.00
_cell_angle_gamma 120.00
loop_
_atom_site_label
_atom_site_fract_x
_atom_site_fract_y
_atom_site_fract_z
_atom_site_occupancy
Hg1 0.0000 0.0000 0.0000 1
P1 0.6667 0.3333 0.9983 1
Se1 0.3333 0.6667 0.9976 1
```



(2)
## HgPSe2 (PBE)

Data for HgPSe2 after structural relaxation.

spin magnetization = 0.000 μB/cell
formation energy (no corrections) = 0.39 eV/atom

Structure (CIF):
```
data_HgPSe2
_space_group_name_H-M_alt 'C m m m'
_space_group_IT_number 65
_space_group_name_Hall '-C 2 2'
_cell_length_a 3.4684
_cell_length_b 5.2841
_cell_length_c 10.1255
_cell_angle_alpha 90.00
_cell_angle_beta 90.00
_cell_angle_gamma 90.00
loop_
_atom_site_label
_atom_site_fract_x
_atom_site_fract_y
_atom_site_fract_z
_atom_site_occupancy
Hg1 0.0000 0.0000 0.0000 1
P1 0.0000 0.0000 0.5000 1
Se1 0.0000 0.5000 0.3196 1
```



(3)
## HgPSe (PBE)

Data for HgPSe after structural relaxation.

spin magnetization = 0.000 μB/cell
formation energy (no corrections) = 0.30 eV/atom

Structure (CIF):
```
data_HgPSe
_space_group_name_H-M_alt 'P 3 m 1'
_space_group_IT_number 156
_space_group_name_Hall 'P 3 -2"'
_cell_length_a 3.6898
_cell_length_b 3.6898
_cell_length_c 5.5470
_cell_angle_alpha 90.00
_cell_angle_beta 90.00
_cell_angle_gamma 120.00
loop_
_atom_site_label
_atom_site_fract_x
_atom_site_fract_y
_atom_site_fract_z
_atom_site_occupancy
Hg1 0.0000 0.0000 0.0000 1
P1 0.6667 0.3333 0.3341 1
Se1 0.3333 0.6667 0.6014 1
```



(4)
## Hg3PSe (PBE)

Data for Hg3PSe after structural relaxation.

spin magnetization = 0.000 μB/cell
formation energy (no corrections) = 0.28 eV/atom

Structure (CIF):
```
data_Hg3PSe
_space_group_name_H-M_alt 'P m -3 m'
_space_group_IT_number 221
_space_group_name_Hall '-P 4 2 3'
_cell_length_a 5.0931
_cell_length_b 5.0931
_cell_length_c 5.0931
_cell_angle_alpha 90.00
_cell_angle_beta 90.00
_cell_angle_gamma 90.00
loop_
_atom_site_label
_atom_site_fract_x
_atom_site_fract_y
_atom_site_fract_z
_atom_site_occupancy
Hg1 0.0000 0.0000 0.5000 1
P1 0.0000 0.0000 0.0000 1
Se1 0.5000 0.5000 0.5000 1
```



(5)
## HgP2Se (PBE)

Data for HgP2Se after structural relaxation.

spin magnetization = 0.000 μB/cell
formation energy (no corrections) = 0.18 eV/atom

Structure (CIF):
```
data_HgP2Se
_space_group_name_H-M_alt 'P 1'
_space_group_IT_number 1
_space_group_name_Hall 'P 1'
_cell_length_a 3.2239
_cell_length_b 5.2152
_cell_length_c 6.4222
_cell_angle_alpha 103.27
_cell_angle_beta 90.11
_cell_angle_gamma 90.00
loop_
_atom_site_label
_atom_site_fract_x
_atom_site_fract_y
_atom_site_fract_z
_atom_site_occupancy
Hg1 0.0000 0.0000 0.0000 1
P1 0.9965 0.4254 0.6099 1
P2 0.9980 0.4880 0.9577 1
Se1 0.4961 0.1018 0.4952 1
```



(6)
## HgP2Se (PBE)

Data for HgP2Se after structural relaxation.

spin magnetization = 0.000 μB/cell
formation energy (no corrections) = 0.12 eV/atom

Structure (CIF):
```
data_HgP2Se
_space_group_name_H-M_alt 'C 1 2/m 1'
_space_group_IT_number 12
_space_group_name_Hall '-C 2y'
_cell_length_a 11.5086
_cell_length_b 3.2940
_cell_length_c 5.6857
_cell_angle_alpha 90.00
_cell_angle_beta 119.11
_cell_angle_gamma 90.00
loop_
_atom_site_label
_atom_site_fract_x
_atom_site_fract_y
_atom_site_fract_z
_atom_site_occupancy
Hg1 0.0000 0.0000 0.0000 1
P1 0.2456 0.5000 0.6265 1
Se1 0.0000 0.5000 0.5000 1
```



- Which of these has the highest formation energy (no corrections)?
  number 1



- Which of these has the lowest formation energy (no corrections)?
  number 6